Entry 1:
## KSrMg2 (GGA-PBE)

Data for an optimized crystal structure of KSrMg2.

Its polymorph energy (0 for the lowest one) is 138 meV/atom.

It has space group R-3m (No. 166, hexagonal axes), with a = 4.0314 Å, b = 4.0314 Å, c = 35.4074 Å, α = 90.00°, β = 90.00° and γ = 120.00°. The distinct sites, in fractional coordinates, are K at (0.0000, 0.0000, 0.0000), Sr at (0.0000, 0.0000, 0.5000) and Mg at (0.0000, 0.0000, 0.2447).



Entry 2:
## BeIn2P (GGA-PBE)

Data for an optimized crystal structure of BeIn2P.

Its polymorph energy (0 for the lowest one) is 407 meV/atom.

It has space group C2/m (No. 12), with a = 5.7852 Å, b = 7.5067 Å, c = 3.7946 Å, α = 90.00°, β = 105.41° and γ = 90.00°. The distinct sites, in fractional coordinates, are Be at (0.0000, 0.0000, 0.0000), In at (0.2500, 0.2500, 0.5000) and P at (0.0000, 0.5000, 0.0000).



Entry 3:
## Ac2AuCl (GGA-PBE)

Data for an optimized crystal structure of Ac2AuCl.

Its polymorph energy (0 for the lowest one) is 56 meV/atom. For the formation energy (no corrections), the calculation gives -1.10 eV/atom.

It has space group R3m (No. 160, hexagonal axes), with a = 4.4737 Å, b = 4.4737 Å, c = 23.6801 Å, α = 90.00°, β = 90.00° and γ = 120.00°. The distinct sites, in fractional coordinates, are Ac at (0.0000, 0.0000, 0.0000), Ac at (0.0000, 0.0000, 0.1847), Au at (0.0000, 0.0000, 0.5927) and Cl at (0.0000, 0.0000, 0.4220).



Entry 4:
## Pm2Zn2InRh5 (GGA-PBE)

Data for an optimized crystal structure of Pm2Zn2InRh5.

It has space group P4/mbm (No. 127), with a = 9.7944 Å, b = 9.7944 Å, c = 3.7053 Å, α = 90.00°, β = 90.00° and γ = 90.00°. The distinct sites, in fractional coordinates, are Pm at (0.1753, 0.3247, 0.0000), Zn at (0.1223, 0.6223, 0.0000), In at (0.0000, 0.0000, 0.0000), Rh at (0.0000, 0.5000, 0.5000) and Rh at (0.0670, 0.7924, 0.5000).



Entry 5:
## TaBe2OsPt (GGA-PBE)

Data for an optimized crystal structure of TaBe2OsPt.

It has space group P4/mmm (No. 123), with a = 4.0948 Å, b = 4.0948 Å, c = 4.8874 Å, α = 90.00°, β = 90.00° and γ = 90.00°. The distinct sites, in fractional coordinates, are Ta at (0.0000, 0.0000, 0.0000), Be at (0.0000, 0.5000, 0.5000), Os at (0.5000, 0.5000, 0.5000) and Pt at (0.5000, 0.5000, 0.0000).



Entry 6:
## NpTl3Sb2S6 (GGA-PBE)

Data for an optimized crystal structure of NpTl3Sb2S6.

For the formation energy (no corrections), the calculation gives -0.54 eV/atom.

It has space group C2/m (No. 12), with a = 7.0330 Å, b = 12.1807 Å, c = 7.8679 Å, α = 90.00°, β = 107.31° and γ = 90.00°. The distinct sites, in fractional coordinates, are Np at (0.0000, 0.0000, 0.0000), Tl at (0.0000, 0.1666, 0.5000), Tl at (0.0000, 0.5000, 0.5000), Sb at (0.0000, 0.3333, 0.0000), S at (0.2320, 0.1658, 0.1991) and S at (0.2349, 0.5000, 0.1994).



The records above yield E_tot values of -0.0922; -0.2309; -0.3261; -0.4206; -0.4666; -0.3649 Ry/atom, respectively.